Record 1
DFT (PBE) results for LaCoAg2 after structural relaxation.

Calculated values
total energy = -4.3949 eV/atom
V = 20.547 Å³ per atom
ΔE_f = 0.039 eV/atom
total magnetic moment = 0.000 μB/atom

```
4
Lattice="3.6870 0.0000 0.0000 0.0000 1.9908 5.5986 0.0000 -1.9908 5.5986" Properties=species:S:1:pos:R:3 pbc="T T T"
La 0.0000 0.0000 0.0000
Co 1.8435 0.0000 6.1746
Ag 0.0000 0.0000 8.0695
Ag 1.8435 0.0000 3.4074
```

Record 2
DFT (PBE) results for Mn2ZnAu4 after structural relaxation.

Calculated values
total energy = -4.4591 eV/atom
V = 16.272 Å³ per atom
ΔE_f = 0.216 eV/atom
total magnetic moment = 0.000 μB/atom

```
7
Lattice="6.0649 -1.4306 0.0000 6.0649 1.4306 0.0000 -2.2403 0.0000 6.5638" Properties=species:S:1:pos:R:3 pbc="T T T"
Mn 2.5454 0.0000 0.5839
Mn 7.3440 0.0000 5.9799
Zn 0.0000 0.0000 0.0000
Au -0.4759 0.0000 4.5312
Au 2.8953 0.0000 4.2445
Au 6.9941 0.0000 2.3193
Au 10.3654 0.0000 2.0326
```

Record 3
DFT (PBE) results for CeDy12Er6 after structural relaxation.

Calculated values
total energy = -4.4468 eV/atom
V = 32.520 Å³ per atom
ΔE_f = 0.213 eV/atom
total magnetic moment = 0.097 μB/atom

```
19
Lattice="6.5925 3.8062 4.1040 -6.5925 3.8062 4.1040 0.0000 -7.6124 4.1040" Properties=species:S:1:pos:R:3 pbc="T T T"
Ce 0.0000 0.0000 0.0000
Dy -1.7952 -1.0364 3.2022
Dy -1.6934 -2.9330 6.1561
Dy -3.3868 0.0000 6.1561
Dy 1.7952 -1.0364 3.2022
Dy 0.0000 2.0729 3.2022
Dy 1.6934 -2.9330 6.1561
Dy -1.6934 2.9330 6.1561
Dy 0.0000 -2.0729 9.1099
Dy -1.7952 1.0364 9.1099
Dy 3.3868 0.0000 6.1561
Dy 1.6934 2.9330 6.1561
Dy 1.7952 1.0364 9.1099
Er 0.0000 -4.2605 3.5749
Er -3.6897 2.1303 3.5749
Er -3.6897 -2.1303 8.7372
Er 3.6897 2.1303 3.5749
Er 3.6897 -2.1303 8.7372
Er 0.0000 4.2605 8.7372
```

Which formula does entry 3 have?
CeDy12Er6

The highest ΔE_f belongs to which entry?
Mn2ZnAu4

What is the total magnetic moment in the first record?
0.000 μB/atom